A plane-wave DFT calculation with GGA-PBE was carried out for a relaxed Zn6Cu5Ir crystal.

Calculated values
Formation enthalpy at 0 K ... -0.108 eV/atom
Crystal system ... monoclinic
Fermi-level density of states ... 4.28 states/eV/cell
SG ... C2/m (12)

Unit cell a=7.1079 b=7.1079 c=3.8762 alpha=105.78 beta=105.78 gamma=111.58
Closest atoms and distances in Å follow each position.
Positions (direct):
Zn  0.0823  0.4152  0.7487  7 Cu 2.60-2.62, 1 Ir 2.63, 4 Zn 2.75-2.76
Zn  0.2471  0.2471  0.2469  6 Cu 2.60-2.66, 2 Ir 2.62-2.63, 4 Zn 2.75
Zn  0.4152  0.0823  0.7487  7 Cu 2.60-2.62, 1 Ir 2.63, 4 Zn 2.75-2.76
Zn  0.5848  0.9177  0.2513  7 Cu 2.60-2.62, 1 Ir 2.63, 4 Zn 2.75-2.76
Zn  0.7529  0.7529  0.7531  6 Cu 2.60-2.66, 2 Ir 2.62-2.63, 4 Zn 2.75
Zn  0.9177  0.5848  0.2513  7 Cu 2.60-2.62, 1 Ir 2.63, 4 Zn 2.75-2.76
Cu  0.0000  0.0000  0.5000  8 Zn 2.60-2.62, 4 Cu 2.79
Cu  0.1704  0.8296  0.0000  8 Zn 2.60-2.65, 4 Cu 2.70-2.79
Cu  0.3306  0.6694  0.5000  8 Zn 2.60-2.66, 2 Cu 2.70, 2 Ir 2.78
Cu  0.6694  0.3306  0.5000  8 Zn 2.60-2.66, 2 Cu 2.70, 2 Ir 2.78
Cu  0.8296  0.1704  0.0000  8 Zn 2.60-2.65, 4 Cu 2.70-2.79
Ir  0.5000  0.5000  0.0000  8 Zn 2.62-2.63, 4 Cu 2.78

A plane-wave DFT calculation with GGA-PBE was carried out for a relaxed ReHg2Mo crystal.

Calculated values
Formation enthalpy at 0 K ... 0.860 eV/atom
Crystal system ... orthorhombic
Fermi-level density of states ... 6.64 states/eV/cell
SG ... Cmmm (65)

Unit cell a=3.1892 b=4.6238 c=9.7701 alpha=90.00 beta=90.00 gamma=90.00
Closest atoms and distances in Å follow each position.
Positions (direct):
Re  0.0000  0.0000  0.0000  4 Re 2.81, 4 Hg 2.92
Re  0.5000  0.5000  0.0000  4 Re 2.81, 4 Hg 2.92
Hg  0.0000  0.5000  0.2503  4 Hg 2.81, 2 Mo 2.91, 2 Re 2.92
Hg  0.0000  0.5000  0.7497  4 Hg 2.81, 2 Mo 2.91, 2 Re 2.92
Hg  0.5000  0.0000  0.2503  4 Hg 2.81, 2 Mo 2.91, 2 Re 2.92
Hg  0.5000  0.0000  0.7497  4 Hg 2.81, 2 Mo 2.91, 2 Re 2.92
Mo  0.0000  0.0000  0.5000  4 Mo 2.81, 4 Hg 2.91
Mo  0.5000  0.5000  0.5000  4 Mo 2.81, 4 Hg 2.91

A plane-wave DFT calculation with GGA-PBE was carried out for a relaxed Pm7Ru2Pb crystal.

Calculated values
Formation enthalpy at 0 K ... -0.214 eV/atom
Crystal system ... tetragonal
Fermi-level density of states ... 10.37 states/eV/cell
SG ... I4/mmm (139)

Unit cell a=12.3313 b=12.3313 c=12.3313 alpha=156.90 beta=156.90 gamma=32.89
Closest atoms and distances in Å follow each position.
Positions (direct):
Pm  0.0000  0.0000  0.0000  4 Pb 3.49, 8 Pm 3.51
Pm  0.1054  0.6054  0.5000  2 Ru 2.91
Pm  0.2500  0.7500  0.5000  4 Ru 3.10, 2 Pm 3.42
Pm  0.3946  0.8946  0.5000  2 Ru 2.91
Pm  0.6054  0.1054  0.5000  2 Ru 2.91
Pm  0.7500  0.2500  0.5000  4 Ru 3.10, 2 Pm 3.42
Pm  0.8946  0.3946  0.5000  2 Ru 2.91
Ru  0.1704  0.1704  0.0000  8 Pm 2.91-3.10
Ru  0.8296  0.8296  0.0000  8 Pm 2.91-3.10
Pb  0.5000  0.5000  0.0000  12 Pm 3.49-3.51

A plane-wave DFT calculation with GGA-PBE was carried out for a relaxed LiIrBr2 crystal.

Calculated values
Electronic total energy ... -2.758 eV per atom
Crystal system ... cubic
Fermi-level density of states ... 14.51 states/eV/cell
SG ... F-43m (216)

Unit cell a=6.8923 b=6.8923 c=6.8923 alpha=90.00 beta=90.00 gamma=90.00
Closest atoms and distances in Å follow each position.
Positions (direct):
Li  0.0000  0.0000  0.0000  4 Br 2.98, 4 Ir 2.98
Li  0.0000  0.5000  0.5000  4 Br 2.98, 4 Ir 2.98
Li  0.5000  0.0000  0.5000  4 Br 2.98, 4 Ir 2.98
Li  0.5000  0.5000  0.0000  4 Br 2.98, 4 Ir 2.98
Ir  0.2500  0.2500  0.7500  4 Li 2.98, 4 Br 2.98
Ir  0.2500  0.7500  0.2500  4 Li 2.98, 4 Br 2.98
Ir  0.7500  0.2500  0.2500  4 Li 2.98, 4 Br 2.98
Ir  0.7500  0.7500  0.7500  4 Li 2.98, 4 Br 2.98
Br  0.0000  0.0000  0.5000  4 Ir 2.98, 4 Br 2.98
Br  0.0000  0.5000  0.0000  4 Ir 2.98, 4 Br 2.98
Br  0.2500  0.2500  0.2500  4 Br 2.98, 4 Li 2.98
Br  0.2500  0.7500  0.7500  4 Li 2.98, 4 Br 2.98
Br  0.5000  0.0000  0.0000  4 Ir 2.98, 4 Br 2.98
Br  0.5000  0.5000  0.5000  4 Ir 2.98, 4 Br 2.98
Br  0.7500  0.2500  0.7500  4 Li 2.98, 4 Br 2.98
Br  0.7500  0.7500  0.2500  4 Li 2.98, 4 Br 2.98

A plane-wave DFT calculation with GGA-PBE was carried out for a relaxed Ac3Ag2N crystal.

Calculated values
Electronic total energy ... -4.897 eV per atom
Crystal system ... monoclinic
Fermi-level density of states ... 3.60 states/eV/cell
SG ... P2/m (10)

Unit cell a=5.3308 b=4.0028 c=8.2022 alpha=90.00 beta=108.84 gamma=90.00
Closest atoms and distances in Å follow each position.
Positions (direct):
Ac  0.0000  0.0000  0.0000  2 N 2.67
Ac  0.3764  0.5000  0.7517  2 N 2.78
Ac  0.6236  0.5000  0.2483  2 N 2.78
Ag  0.2058  0.0000  0.4119  2 Ag 2.99-3.00, 3 Ac 3.20-3.31
Ag  0.7942  0.0000  0.5881  2 Ag 2.99-3.00, 3 Ac 3.20-3.31
N  0.5000  0.0000  0.0000  6 Ac 2.67-2.78

A plane-wave DFT calculation with GGA-PBE was carried out for a relaxed CuBr2N crystal.

Calculated values
Electronic total energy ... -2.288 eV per atom
Crystal system ... cubic
Fermi-level density of states ... 19.53 states/eV/cell
SG ... Fm-3m (225)

Unit cell a=6.4668 b=6.4668 c=6.4668 alpha=90.00 beta=90.00 gamma=90.00
Closest atoms and distances in Å follow each position.
Positions (direct):
Cu  0.0000  0.0000  0.0000  8 Br 2.80
Cu  0.0000  0.5000  0.5000  8 Br 2.80
Cu  0.5000  0.0000  0.5000  8 Br 2.80
Cu  0.5000  0.5000  0.0000  8 Br 2.80
Br  0.2500  0.2500  0.2500  4 Cu 2.80, 4 N 2.80
Br  0.2500  0.2500  0.7500  4 Cu 2.80, 4 N 2.80
Br  0.2500  0.7500  0.2500  4 Cu 2.80, 4 N 2.80
Br  0.2500  0.7500  0.7500  4 Cu 2.80, 4 N 2.80
Br  0.7500  0.2500  0.2500  4 Cu 2.80, 4 N 2.80
Br  0.7500  0.2500  0.7500  4 Cu 2.80, 4 N 2.80
Br  0.7500  0.7500  0.2500  4 Cu 2.80, 4 N 2.80
Br  0.7500  0.7500  0.7500  4 Cu 2.80, 4 N 2.80
N  0.0000  0.0000  0.5000  8 Br 2.80
N  0.0000  0.5000  0.0000  8 Br 2.80
N  0.5000  0.0000  0.0000  8 Br 2.80
N  0.5000  0.5000  0.5000  8 Br 2.80